{"formula": "SrC2", "functional": "PBE-GGA", "state": "relaxed", "total_energy_ev_per_atom": -6.33, "total_magnetization_mub_per_fu": 0.0, "dos_ef_per_ev_cell": 0.000, "spacegroup": "No. 141", "lattice": [[-4.1572, 0.3090, 8.7767], [-7.4908, 3.1466, 5.3288], [4.4290, -4.0693, -7.6311]], "species": ["Sr", "C", "Sr", "C", "C", "C"], "fractional_positions": [[0.7500, 0.2500, 0.5000], [0.4660, 0.4660, 0.0000], [0.0000, 0.0000, 0.0000], [0.2840, 0.7840, 0.5000], [0.5340, 0.5340, 0.0000], [0.2160, 0.7160, 0.5000]]}

{"formula": "Sr5C", "functional": "PBE-GGA", "state": "relaxed", "total_energy_ev_per_atom": -1.64, "de_polymorph_mev_per_atom": 977, "total_magnetization_mub_per_fu": 2.6, "dos_ef_per_ev_cell": 4.906, "spacegroup": "No. 216", "lattice": [[0.0000, 5.5011, 5.5011], [5.5011, 0.0000, 5.5011], [5.5011, 5.5011, 0.0000]], "species": ["Sr", "Sr", "Sr", "Sr", "Sr", "C"], "fractional_positions": [[0.6243, 0.6243, 0.1270], [0.2500, 0.2500, 0.2500], [0.1270, 0.6243, 0.6243], [0.6243, 0.1270, 0.6243], [0.6243, 0.6243, 0.6243], [0.0000, 0.0000, 0.0000]]}

{"formula": "SrC", "functional": "PBE-GGA", "state": "relaxed", "total_energy_ev_per_atom": -4.60, "de_polymorph_mev_per_atom": 818, "total_magnetization_mub_per_fu": 0.0, "dos_ef_per_ev_cell": 5.200, "spacegroup": "No. 65", "lattice": [[-5.1114, -16.5766, -3.9462], [-0.0067, -0.7117, 2.9982], [-3.9461, 1.1537, 0.2650]], "species": ["Sr", "C", "Sr", "C", "Sr", "C", "C", "Sr", "C", "C", "Sr", "Sr"], "fractional_positions": [[0.5000, 0.0000, 0.0000], [0.2278, 0.5000, 0.0000], [0.8411, 0.0000, 0.5000], [0.2722, 0.0000, 0.0000], [0.6589, 0.5000, 0.5000], [0.7722, 0.5000, 0.0000], [0.7278, 0.0000, 0.0000], [0.3411, 0.5000, 0.5000], [0.5000, 0.5000, 0.5000], [0.0000, 0.0000, 0.5000], [0.0000, 0.5000, 0.0000], [0.1589, 0.0000, 0.5000]]}

{"formula": "Sr2C", "functional": "PBE-GGA", "state": "relaxed", "total_energy_ev_per_atom": -3.65, "de_polymorph_mev_per_atom": 417, "total_magnetization_mub_per_fu": 0.0, "dos_ef_per_ev_cell": 5.449, "spacegroup": "No. 136", "lattice": [[-4.6684, 3.2685, -3.2076], [-2.2519, -5.6268, -2.4563], [-2.6001, -0.4232, 3.3531]], "species": ["C", "Sr", "Sr", "Sr", "C", "Sr"], "fractional_positions": [[0.5000, 0.5000, 0.5000], [0.6932, 0.3068, 0.0000], [0.8068, 0.8068, 0.5000], [0.1932, 0.1932, 0.5000], [0.0000, 0.0000, 0.0000], [0.3068, 0.6932, 0.0000]]}

{"formula": "Sr3C2", "functional": "PBE-GGA", "state": "relaxed", "total_energy_ev_per_atom": -3.87, "de_polymorph_mev_per_atom": 6, "total_magnetization_mub_per_fu": 2.0, "dos_ef_per_ev_cell": 5.915, "spacegroup": "No. 43", "lattice": [[0.0000, 5.8102, 6.0053], [4.1160, 0.0000, 6.0053], [4.1160, 5.8102, 0.0000]], "species": ["Sr", "C", "Sr", "Sr", "Sr", "Sr", "C", "C", "Sr", "C"], "fractional_positions": [[0.0351, 0.8878, 0.6288], [0.2843, 0.0053, 0.6409], [0.4483, 0.6288, 0.8878], [0.9128, 0.0872, 0.0872], [0.6212, 0.8017, 0.2149], [0.1628, 0.3372, 0.3372], [0.6091, 0.1805, 0.9657], [0.2447, 0.9657, 0.1805], [0.3622, 0.2149, 0.8017], [0.0695, 0.6409, 0.0053]]}

{"formula": "SrC2", "functional": "PBE-GGA", "state": "relaxed", "total_energy_ev_per_atom": -3.55, "total_magnetization_mub_per_fu": 6.0, "dos_ef_per_ev_cell": 2.158, "spacegroup": "No. 136", "lattice": [[-3.4094, 5.0459, 2.2227], [0.6691, -2.2154, 6.0555], [3.6124, 2.2534, 0.4253]], "species": ["Sr", "Sr", "C", "C", "C", "C"], "fractional_positions": [[0.0000, 0.0000, 0.5000], [0.5000, 0.5000, 0.0000], [0.1952, 0.1952, 0.0000], [0.6952, 0.3048, 0.5000], [0.3048, 0.6952, 0.5000], [0.8048, 0.8048, 0.0000]]}